1.
# LiCaSi

A geometry-optimized LiCaSi structure (PBE, Alexandria).

The structure in extended XYZ format:
```
3
Lattice="5.752 0.027 -0.030 4.656 3.376 -0.031 1.095 0.359 3.330" Properties=species:S:1:pos:R:3 pbc="T T T"
Si 7.557 2.471 0.977
Li 3.841 1.257 2.330
Ca 1.200 0.394 3.292
```

## Properties
The value obtained for the density of states at the Fermi level is 1.55 states/eV/cell. The calculation puts the uncorrected formation energy at -0.118 eV per atom. The calculation puts the magnetization at 0.06 μB per cell. The calculation puts the electronic total energy at -0.119 Ha/atom.

***

2.
# CuPRuS2

A geometry-optimized CuPRuS2 structure (PBE, Alexandria).

The structure in extended XYZ format:
```
5
Lattice="-3.023 0.667 3.155 2.983 -1.063 3.083 1.207 4.179 0.273" Properties=species:S:1:pos:R:3 pbc="T T T"
Cu 0.000 0.000 0.000
S 1.492 -0.531 1.542
Ru 0.583 1.892 3.255
S -1.512 0.333 1.577
P 0.603 2.090 0.136
```

## Properties
The value obtained for the density of states at the Fermi level is 2.97 states/eV/cell. The calculation puts the uncorrected formation energy at 1.101 eV per atom. The calculation puts the magnetization at 0.00 μB per cell. The calculation puts the electronic total energy at -0.158 Ha/atom. The calculation puts the offset from the most stable computed form at 1.701 eV per formula unit.

***

3.
# LiRu2F11

A geometry-optimized LiRu2F11 structure (PBE, Alexandria).

The structure in extended XYZ format:
```
28
Lattice="7.085 0.000 3.693 3.425 7.554 2.071 0.055 -0.461 8.537" Properties=species:S:1:pos:R:3 pbc="T T T"
F 0.000 0.000 0.000
F 6.421 5.969 7.344
F 8.735 6.036 12.413
Li 7.924 5.320 10.726
F 4.144 1.124 6.958
F 6.974 4.271 9.308
Li 2.641 1.773 3.575
F 3.592 2.822 4.994
F 7.880 2.489 7.570
F 4.348 0.725 3.542
F 6.330 1.962 11.407
Ru 5.858 0.254 10.828
F 1.700 2.146 6.720
Ru 7.167 4.261 7.399
F 7.265 0.121 9.613
F 4.236 5.132 2.894
F 3.209 2.964 8.751
F 6.217 6.369 10.759
F 7.356 4.129 5.550
F 8.866 4.947 7.581
F 5.830 6.154 4.762
Ru 4.708 6.839 3.473
F 4.736 0.940 9.539
F 3.301 6.972 4.688
F 5.283 3.547 7.151
Ru 3.399 2.832 6.902
F 2.686 4.604 6.731
F 1.831 1.058 1.888
```

## Properties
The calculation puts the uncorrected formation energy at -1.863 eV per atom. The calculation puts the magnetization at 12.00 μB per cell. The calculation puts the electronic total energy at -0.176 Ha/atom.

***

> Which formula does entry 2 have?

CuPRuS2

***

> Among the records above, which one has the lowest magnetization?

CuPRuS2